HoCoB5O10 | GGA+U | relaxed

Properties
space-group type = P2_1/c (14)
ρ = 4694 kg/m³
uncorrected energy = -539.04 eV/cell

abc: 7.6582 8.5945 9.4370
angles: 86.14 90.00 90.00
Last column: magnetic moment on the atom in μB.
Fractional coordinates of all 68 atoms:
B: 0.1757 0.0180 0.8987  0.00
B: 0.0723 0.4160 0.2491  0.00
B: 0.1872 0.5656 0.9102  0.01
B: 0.0323 0.2227 0.0579  0.00
B: 0.5723 0.0840 0.2509  0.00
B: 0.4277 0.9160 0.7491  0.00
B: 0.3128 0.0656 0.4102  0.01
B: 0.8968 0.6626 0.4886  0.00
B: 0.3243 0.5180 0.3987  0.00
B: 0.8243 0.9820 0.1013  0.00
B: 0.6032 0.1626 0.9886  0.00
B: 0.6757 0.4820 0.6013  0.00
B: 0.1032 0.3374 0.5114  0.00
B: 0.4677 0.7227 0.5579  0.00
B: 0.9677 0.7773 0.9421  0.00
B: 0.3968 0.8374 0.0114  0.00
B: 0.5323 0.2773 0.4421  0.00
B: 0.6872 0.9344 0.5898  0.01
B: 0.9277 0.5840 0.7509  0.00
B: 0.8128 0.4344 0.0898  0.01
O: 0.7022 0.9622 0.2238  0.02
O: 0.1530 0.9916 0.4284  0.06
O: 0.4064 0.0124 0.2984  0.01
O: 0.3522 0.8172 0.6426  0.04
O: 0.4698 0.4167 0.3507  0.03
O: 0.0302 0.9167 0.8507  0.03
O: 0.6233 0.8204 0.5101  0.00
O: 0.9682 0.6851 0.6192  0.03
O: 0.6478 0.1828 0.3574  0.04
O: 0.0936 0.5124 0.7984  0.01
O: 0.3470 0.4916 0.9284  0.06
O: 0.6530 0.5084 0.0716  0.06
O: 0.3883 0.6766 0.4227  0.00
O: 0.1233 0.6796 0.9899  0.00
O: 0.5302 0.5833 0.6493  0.03
O: 0.5936 0.9876 0.7016  0.01
O: 0.8767 0.3204 0.0101  0.00
O: 0.5567 0.2456 0.8679  0.00
O: 0.7978 0.4622 0.7238  0.02
O: 0.3767 0.1796 0.4899  0.00
O: 0.0567 0.2544 0.6321  0.00
O: 0.0318 0.3149 0.3808  0.03
O: 0.8522 0.6828 0.8574  0.04
O: 0.4433 0.7544 0.1321  0.00
O: 0.9698 0.0833 0.1493  0.03
O: 0.1478 0.3172 0.1426  0.04
O: 0.9433 0.7456 0.3679  0.00
O: 0.7332 0.0504 0.9752  0.00
O: 0.6117 0.3234 0.5773  0.00
O: 0.4682 0.8149 0.8808  0.03
O: 0.1117 0.1766 0.9227  0.00
O: 0.2668 0.9496 0.0248  0.00
O: 0.9064 0.4876 0.2016  0.01
O: 0.7668 0.5504 0.4752  0.00
O: 0.2332 0.4496 0.5248  0.00
O: 0.2978 0.0378 0.7762  0.02
O: 0.8883 0.8234 0.0773  0.00
O: 0.8470 0.0084 0.5716  0.06
O: 0.5318 0.1851 0.1192  0.03
O: 0.2022 0.5378 0.2762  0.02
Co: 0.4026 0.3987 0.1301  2.75
Co: 0.0974 0.8987 0.6301  2.75
Co: 0.9026 0.1013 0.3699  2.75
Co: 0.5974 0.6013 0.8699  2.75
Ho: 0.6855 0.6843 0.2562  0.00
Ho: 0.3145 0.3157 0.7438  0.00
Ho: 0.1855 0.8157 0.2438  0.00
Ho: 0.8145 0.1843 0.7562  0.00